## ReBi (PBE-GGA)

Data for an optimized crystal structure of ReBi.

Summary:
The value obtained for the formation energy from the elements is 1.79 eV/atom. The density of states at the Fermi level is 1.12 states/eV/atom. As for the uncorrected energy: -25.481 eV per cell.

a = 4.7821 Å, b = 4.7821 Å, c = 5.6159 Å
α = 90.00°, β = 90.00°, γ = 120.00°
Last column: nearest neighbours and their distance in Å.
Sites, in units of the cell vectors:
Bi1 0.6667 0.3333 0.2500  5 Re 2.76-2.81
Re1 0.3333 0.6667 0.2500  5 Bi 2.76-2.81
Re2 0.6667 0.3333 0.7500  5 Bi 2.76-2.81
Bi2 0.3333 0.6667 0.7500  5 Re 2.76-2.81

***

## ZrCu2Si (PBE-GGA)

Data for an optimized crystal structure of ZrCu2Si.

Summary:
For the formation energy without anion corrections, the calculation gives -0.3041 eV/atom. The density of states at the Fermi level is 0.41 states/eV/atom. As for the uncorrected energy: -23.380 eV per cell.

a = 3.9970 Å, b = 3.9970 Å, c = 5.0154 Å
α = 66.55°, β = 66.55°, γ = 60.00°
Last column: nearest neighbours and their distance in Å.
Sites, in units of the cell vectors:
Cu1 0.0324 0.0324 0.9033  3 Cu 2.45, 3 Si 2.63
Zr1 0.2468 0.2468 0.2594  7 Cu 2.80-3.09, 4 Si 2.81-2.86
Cu2 0.7602 0.7602 0.7193  3 Si 2.35, 3 Cu 2.45
Si1 0.4606 0.4606 0.6180  3 Cu 2.35

***

## YMgZr2 (PBE-GGA)

Data for an optimized crystal structure of YMgZr2.

Summary:
The value obtained for the formation energy from the elements is 0.09 eV/atom. The density of states at the Fermi level is 1.32 states/eV/atom. As for the uncorrected energy: -24.807 eV per cell.

a = 5.6264 Å, b = 5.6264 Å, c = 5.6264 Å
α = 131.46°, β = 131.46°, γ = 71.09°
Last column: nearest neighbours and their distance in Å.
Sites, in units of the cell vectors:
Y1 0.7500 0.2500 0.5000  8 Zr 3.25-3.27, 4 Mg 3.25
Zr1 0.2500 0.7500 0.5000  4 Mg 3.25, 4 Zr 3.25, 4 Y 3.27
Mg1 0.5000 0.5000 0.0000  4 Y 3.25, 8 Zr 3.25-3.27
Zr2 0.0000 0.0000 0.0000  4 Zr 3.25, 4 Y 3.25, 4 Mg 3.27